No. 1
Below is a geometry-optimized K6Rb3Na structure, with properties calculated at the GGA-PBE level.

```
K6Rb3Na
1.0
12.640 0.000 0.000
0.000 7.592 0.000
-5.912 0.000 15.318
K Rb Na
12 6 2
Cartesian
-1.831 1.898 4.862 K
1.317 1.898 1.615 K
-0.293 5.694 7.089 K
-3.053 5.694 14.747 K
-0.646 1.898 14.293 K
2.430 1.898 6.722 K
4.299 5.694 8.597 K
7.374 5.694 1.025 K
9.781 1.898 0.571 K
7.022 1.898 8.230 K
5.412 5.694 13.703 K
8.559 5.694 10.456 K
-1.323 1.898 9.710 Rb
3.052 5.694 3.946 Rb
0.783 5.694 11.785 Rb
5.945 1.898 3.533 Rb
3.677 1.898 11.372 Rb
8.051 5.694 5.608 Rb
-4.761 1.898 12.707 Na
11.489 5.694 2.612 Na
```

Results
Total energy = -21.31 eV for the cell shown
Distance to the lowest polymorph of the same formula = 0 meV/atom
Spin magnetization = 0.0 μB per formula unit
V = 735.1 Å³/f.u.
Calculated formation energy = 0.02 eV/atom

No. 2
Below is a geometry-optimized NbIr3Os structure, with properties calculated at the GGA-PBE level.

```
NbIr3Os
1.0
4.692 0.000 0.000
0.000 4.692 0.000
0.000 0.000 4.692
Nb Ir Os
1 3 1
Cartesian
0.000 0.000 0.000 Nb
0.000 0.000 2.346 Ir
0.000 2.346 0.000 Ir
2.346 0.000 0.000 Ir
2.346 2.346 2.346 Os
```

Results
Total energy = -36.95 eV for the cell shown
Distance to the lowest polymorph of the same formula = 1671 meV/atom
Spin magnetization = 2.7 μB per formula unit
V = 103.3 Å³/f.u.
Calculated formation energy = 2.19 eV/atom

No. 3
Below is a geometry-optimized CdPAuO2 structure, with properties calculated at the GGA-PBE level.

```
CdPAuO2
1.0
4.029 0.000 0.000
0.000 4.029 0.000
0.000 0.000 5.113
Cd P Au O
1 1 1 2
Cartesian
0.000 0.000 0.000 Cd
2.015 2.015 0.000 P
2.015 2.015 2.556 Au
0.000 2.015 2.556 O
2.015 0.000 2.556 O
```

Results
Total energy = -17.44 eV for the cell shown
Formation energy without anion corrections = 0.4156 eV/atom
Distance to the lowest polymorph of the same formula = 0 meV/atom
Spin magnetization = 0.6 μB per formula unit
V = 83.0 Å³/f.u.

No. 4
Below is a geometry-optimized Nd4HoTl structure, with properties calculated at the GGA-PBE level.

```
Nd4HoTl
1.0
3.682 0.000 0.000
0.000 3.682 0.000
0.000 0.000 14.563
Nd Ho Tl
4 1 1
Cartesian
0.000 0.000 2.171 Nd
0.000 0.000 12.392 Nd
1.841 1.841 4.772 Nd
1.841 1.841 9.791 Nd
0.000 0.000 7.281 Ho
1.841 1.841 0.000 Tl
```

Results
Total energy = -26.62 eV for the cell shown
Distance to the lowest polymorph of the same formula = 0 meV/atom
Spin magnetization = 0.0 μB per formula unit
V = 197.5 Å³/f.u.
Calculated formation energy = -0.10 eV/atom

No. 5
Below is a geometry-optimized TbNd12Dy2 structure, with properties calculated at the GGA-PBE level.

```
TbNd12Dy2
1.0
6.565 0.000 0.000
0.000 6.565 0.000
0.000 0.000 25.600
Tb Nd Dy
2 24 4
Cartesian
1.641 4.924 0.000 Tb
4.924 1.641 0.000 Tb
0.443 3.726 2.921 Nd
0.443 6.121 22.680 Nd
0.537 3.820 14.399 Nd
0.537 6.028 11.201 Nd
1.641 1.641 5.502 Nd
1.641 1.641 8.623 Nd
1.641 1.641 16.977 Nd
1.641 1.641 20.098 Nd
2.745 3.820 11.201 Nd
2.745 6.028 14.399 Nd
2.839 3.726 22.680 Nd
2.839 6.121 2.921 Nd
3.726 0.443 22.680 Nd
3.726 2.839 2.921 Nd
3.820 0.537 11.201 Nd
3.820 2.745 14.399 Nd
4.924 4.924 5.502 Nd
4.924 4.924 8.623 Nd
4.924 4.924 16.977 Nd
4.924 4.924 20.098 Nd
6.028 0.537 14.399 Nd
6.028 2.745 11.201 Nd
6.121 0.443 2.921 Nd
6.121 2.839 22.680 Nd
1.641 4.924 6.950 Dy
1.641 4.924 18.650 Dy
4.924 1.641 6.950 Dy
4.924 1.641 18.650 Dy
```

Results
Total energy = -132.58 eV for the cell shown
Spin magnetization = 0.0 μB per formula unit
V = 551.7 Å³/f.u.
Calculated formation energy = 0.32 eV/atom

No. 6
Below is a geometry-optimized CePrLuZn structure, with properties calculated at the GGA-PBE level.

```
CePrLuZn
1.0
7.610 0.000 0.000
0.000 7.610 0.000
0.000 0.000 7.610
Ce Pr Lu Zn
4 4 4 4
Cartesian
0.000 0.000 0.000 Ce
0.000 3.805 3.805 Ce
3.805 0.000 3.805 Ce
3.805 3.805 0.000 Ce
0.000 0.000 3.805 Pr
0.000 3.805 0.000 Pr
3.805 0.000 0.000 Pr
3.805 3.805 3.805 Pr
1.902 1.902 1.902 Lu
1.902 5.707 5.707 Lu
5.707 1.902 5.707 Lu
5.707 5.707 1.902 Lu
1.902 1.902 5.707 Zn
1.902 5.707 1.902 Zn
5.707 1.902 1.902 Zn
5.707 5.707 5.707 Zn
```

Results
Total energy = -65.12 eV for the cell shown
Spin magnetization = 1.3 μB per formula unit
V = 110.2 Å³/f.u.
Calculated formation energy = 0.06 eV/atom

No. 7
Below is a geometry-optimized K2CdH structure, with properties calculated at the GGA-PBE level.

```
K2CdH
1.0
8.178 0.000 0.000
0.000 8.178 0.000
0.000 0.000 8.178
K Cd H
8 4 4
Cartesian
2.044 2.044 2.044 K
2.044 2.044 6.133 K
2.044 6.133 2.044 K
2.044 6.133 6.133 K
6.133 2.044 2.044 K
6.133 2.044 6.133 K
6.133 6.133 2.044 K
6.133 6.133 6.133 K
0.000 0.000 0.000 Cd
0.000 4.089 4.089 Cd
4.089 0.000 4.089 Cd
4.089 4.089 0.000 Cd
0.000 0.000 4.089 H
0.000 4.089 0.000 H
4.089 0.000 0.000 H
4.089 4.089 4.089 H
```

Results
Total energy = -22.62 eV for the cell shown
Distance to the lowest polymorph of the same formula = 237 meV/atom
Spin magnetization = 0.0 μB per formula unit
V = 136.7 Å³/f.u.

No. 8
Below is a geometry-optimized RbCaGaSb2 structure, with properties calculated at the GGA-PBE level.

```
RbCaGaSb2
1.0
3.831 -7.909 0.000
3.831 7.909 0.000
0.000 0.000 6.607
Rb Ca Ga Sb
2 2 2 4
Cartesian
3.831 3.955 5.071 Rb
3.831 -3.955 1.537 Rb
1.915 0.000 3.304 Ca
5.746 0.000 3.304 Ca
0.000 0.000 0.000 Ga
3.831 0.000 0.000 Ga
3.831 5.991 1.639 Sb
3.831 1.918 1.639 Sb
3.831 -1.918 4.968 Sb
3.831 -5.991 4.968 Sb
```

Results
Total energy = -32.48 eV for the cell shown
Formation energy without anion corrections = -0.4002 eV/atom
Distance to the lowest polymorph of the same formula = 0 meV/atom
Spin magnetization = 0.0 μB per formula unit
V = 200.2 Å³/f.u.